# HfFeW, relaxed, DFT PBE
data_HfFeW
_chemical_formula_sum 'Hf1 Fe1 W1'
_space_group_name_H-M_alt 'P 1'
_space_group_IT_number 1
_space_group_name_Hall 'P 1'
_cell_length_a 4.204
_cell_length_b 4.204
_cell_length_c 4.204
_cell_angle_alpha 60.00
_cell_angle_beta 60.00
_cell_angle_gamma 60.00
loop_
_atom_site_label
_atom_site_fract_x
_atom_site_fract_y
_atom_site_fract_z
Hf1 0.000 0.000 0.000
Fe1 0.250 0.250 0.250
W1 0.500 0.500 0.500
# Energy above the most stable polymorph in this dataset (eV/atom): 0.0000
# Symmetry: F-43m
# Energy relative to the elements (meV/atom): 304